PrHgB4: relaxed, GGA-PBE.

Cell and atoms, written as CIF:
```
data_PrHgB4
_space_group_name_H-M_alt 'P 1'
_space_group_IT_number 1
_cell_length_a 5.416
_cell_length_b 5.416
_cell_length_c 5.416
_cell_angle_alpha 145.29
_cell_angle_beta 119.94
_cell_angle_gamma 71.27
loop_
_space_group_symop_operation_xyz
'x,y,z'
loop_
_atom_site_label
_atom_site_type_symbol
_atom_site_fract_x
_atom_site_fract_y
_atom_site_fract_z
Pr1 Pr 0.000 0.000 0.000
Hg1 Hg 0.500 0.500 0.000
B1 B 0.054 0.737 0.317
B2 B 0.421 0.737 0.683
B3 B 0.579 0.263 0.317
B4 B 0.946 0.263 0.683
```

Results
- Offset from the most stable computed form: 0 meV per atom
- SG: Immm (71)
- M_tot: 0.001 μB/cell
- Total energy: -31.0 eV per cell



PrHgB4: relaxed, GGA-PBE.

Cell and atoms, written as CIF:
```
data_PrHgB4
_space_group_name_H-M_alt 'P 1'
_space_group_IT_number 1
_cell_length_a 3.232
_cell_length_b 3.232
_cell_length_c 8.276
_cell_angle_alpha 90.00
_cell_angle_beta 90.00
_cell_angle_gamma 120.00
loop_
_space_group_symop_operation_xyz
'x,y,z'
loop_
_atom_site_label
_atom_site_type_symbol
_atom_site_fract_x
_atom_site_fract_y
_atom_site_fract_z
Pr1 Pr 0.000 0.000 0.000
Hg1 Hg 0.000 0.000 0.500
B1 B 0.333 0.667 0.254
B2 B 0.333 0.667 0.746
B3 B 0.667 0.333 0.254
B4 B 0.667 0.333 0.746
```

Results
- Offset from the most stable computed form: 232 meV per atom
- SG: P6/mmm (191)
- M_tot: 0.005 μB/cell
- Total energy: -29.6 eV per cell



HgB2Pt2: relaxed, GGA-PBE.

Cell and atoms, written as CIF:
```
data_HgB2Pt2
_space_group_name_H-M_alt 'P 1'
_space_group_IT_number 1
_cell_length_a 7.232
_cell_length_b 7.232
_cell_length_c 7.232
_cell_angle_alpha 154.63
_cell_angle_beta 154.63
_cell_angle_gamma 36.18
loop_
_space_group_symop_operation_xyz
'x,y,z'
loop_
_atom_site_label
_atom_site_type_symbol
_atom_site_fract_x
_atom_site_fract_y
_atom_site_fract_z
Hg1 Hg 0.000 0.000 0.000
B1 B 0.250 0.750 0.500
B2 B 0.750 0.250 0.500
Pt1 Pt 0.353 0.353 0.000
Pt2 Pt 0.647 0.647 0.000
```

Results
- SG: I4/mmm (139)
- M_tot: 0.001 μB/cell
- Total energy: -26.1 eV per cell



Repeat the second record exactly.
PrHgB4: relaxed, GGA-PBE.

Cell and atoms, written as CIF:
```
data_PrHgB4
_space_group_name_H-M_alt 'P 1'
_space_group_IT_number 1
_cell_length_a 3.232
_cell_length_b 3.232
_cell_length_c 8.276
_cell_angle_alpha 90.00
_cell_angle_beta 90.00
_cell_angle_gamma 120.00
loop_
_space_group_symop_operation_xyz
'x,y,z'
loop_
_atom_site_label
_atom_site_type_symbol
_atom_site_fract_x
_atom_site_fract_y
_atom_site_fract_z
Pr1 Pr 0.000 0.000 0.000
Hg1 Hg 0.000 0.000 0.500
B1 B 0.333 0.667 0.254
B2 B 0.333 0.667 0.746
B3 B 0.667 0.333 0.254
B4 B 0.667 0.333 0.746
```

Results
- Offset from the most stable computed form: 232 meV per atom
- SG: P6/mmm (191)
- M_tot: 0.005 μB/cell
- Total energy: -29.6 eV per cell